# HoEr4Ge4

HoEr4Ge4 after structural relaxation (GGA-PBE, Alexandria via LeMat-Bulk).

Crystal system: tetragonal
Magnetic moment, μB/f.u.: 0.00
Formation energy from the elements, eV per atom: -0.572
DOS(E_F), states/eV/f.u.: 8.55

Unit cell a=9.075 b=9.075 c=5.764 alpha=90.00 beta=90.00 gamma=90.00
Space group P4_2/n (No. 86, origin choice 2)
One atom of each set of equivalent atoms:
1 Ho 0.250 0.250 0.250 (multiplicity 2)
2 Er 0.081 0.655 0.137 (multiplicity 8)
3 Ge 0.028 0.618 0.639 (multiplicity 8)

# Ho2ErGe

Ho2ErGe after structural relaxation (GGA-PBE, Alexandria via LeMat-Bulk).

Crystal system: trigonal
Magnetic moment, μB/f.u.: 0.72
Formation energy from the elements, eV per atom: -0.023
DOS(E_F), states/eV/f.u.: 4.58

Unit cell a=3.5375 b=3.5375 c=32.5495 alpha=90.00 beta=90.00 gamma=120.00
Space group R-3m (No. 166, hexagonal axes)
One atom of each set of equivalent atoms:
1 Ho 0.0000 0.0000 0.1040 (multiplicity 6)
2 Er 0.0000 0.0000 0.0000 (multiplicity 3)
3 Ge 0.0000 0.0000 0.5000 (multiplicity 3)

What is the magnetic moment in the second record?
0.72 μB/f.u.

Please write out number 2 again, unchanged.
# Ho2ErGe

Ho2ErGe after structural relaxation (GGA-PBE, Alexandria via LeMat-Bulk).

Crystal system: trigonal
Magnetic moment, μB/f.u.: 0.72
Formation energy from the elements, eV per atom: -0.023
DOS(E_F), states/eV/f.u.: 4.58

Unit cell a=3.5375 b=3.5375 c=32.5495 alpha=90.00 beta=90.00 gamma=120.00
Space group R-3m (No. 166, hexagonal axes)
One atom of each set of equivalent atoms:
1 Ho 0.0000 0.0000 0.1040 (multiplicity 6)
2 Er 0.0000 0.0000 0.0000 (multiplicity 3)
3 Ge 0.0000 0.0000 0.5000 (multiplicity 3)

What is the DOS(E_F) in the first record?
8.55 states/eV/f.u.